1.
Entry from the Alexandria database: CrTc2Ni at its PBEsol-relaxed geometry (SCAN).

Summary:
energy above the lowest structure with this stoichiometry	0	meV/atom
E_form	0.014	eV/atom

Lattice parameters (Å, degrees): 3.614 3.694 3.694 90.00 90.00 90.00
Atoms (fractional coordinates):
Ni: 0.500 0.000 0.000
Tc: 0.000 0.000 0.500
Cr: 0.500 0.500 0.500
Tc: 0.000 0.500 0.000

***

2.
Entry from the Alexandria database: HfMg2CdF at its PBEsol-relaxed geometry (SCAN).

Summary:
formation energy from raw total energies	867	meV per atom

Lattice parameters (Å, degrees): 5.434 5.840 5.840 90.00 90.00 90.00
Atoms (fractional coordinates):
Mg: 0.000 0.000 0.500
Cd: 0.500 0.000 0.000
F: 0.500 0.500 0.500
Hf: 0.000 0.000 0.000
Mg: 0.000 0.500 0.000

***

3.
Entry from the Alexandria database: Ta2PIr at its PBEsol-relaxed geometry (SCAN).

Summary:
E_form	-0.525	eV/atom

Lattice parameters (Å, degrees): 2.937 2.937 6.929 90.00 90.00 90.00
Atoms (fractional coordinates):
Ta: 0.000 0.000 0.728
Ir: 0.500 0.500 0.000
Ta: 0.000 0.000 0.272
P: 0.500 0.500 0.500

***

4.
Entry from the Alexandria database: SrIrN2F at its PBEsol-relaxed geometry (SCAN).

Summary:
formation energy from raw total energies	1522	meV per atom

Lattice parameters (Å, degrees): 4.346 4.739 4.739 90.00 90.00 90.00
Atoms (fractional coordinates):
N: 0.000 0.000 0.500
N: 0.000 0.500 0.000
F: 0.500 0.000 0.000
Sr: 0.000 0.000 0.000
Ir: 0.500 0.500 0.500

***

5.
Entry from the Alexandria database: BaTcHg2 at its PBEsol-relaxed geometry (SCAN).

Summary:
E_form	0.153	eV/atom

Lattice parameters (Å, degrees): 4.647 4.647 6.438 68.84 68.84 60.00
Atoms (fractional coordinates):
Tc: 0.500 0.500 0.500
Hg: 0.207 0.207 0.380
Ba: 0.000 0.000 0.000
Hg: 0.793 0.793 0.620

***

6.
Entry from the Alexandria database: CuRhNF2 at its PBEsol-relaxed geometry (SCAN).

Summary:
energy above the lowest structure with this stoichiometry	303	meV/atom
formation energy from raw total energies	114	meV per atom

Lattice parameters (Å, degrees): 3.609 3.609 4.241 90.00 90.00 90.00
Atoms (fractional coordinates):
Cu: 0.000 0.000 0.000
N: 0.000 0.000 0.500
F: 0.500 0.000 0.000
Rh: 0.500 0.500 0.500
F: 0.000 0.500 0.000

***

7.
Entry from the Alexandria database: LiCaSb2 at its PBEsol-relaxed geometry (SCAN).

Summary:
energy above the lowest structure with this stoichiometry	94	meV/atom
formation energy from raw total energies	-595	meV per atom

Lattice parameters (Å, degrees): 3.232 5.561 5.561 90.00 90.00 90.00
Atoms (fractional coordinates):
Sb: 0.875 0.500 0.000
Li: 0.375 0.500 0.500
Ca: 0.375 0.000 0.000
Sb: 0.875 0.000 0.500

***

8.
Entry from the Alexandria database: LiHf2GaAg at its PBEsol-relaxed geometry (SCAN).

Summary:
E_form	0.687	eV/atom

Lattice parameters (Å, degrees): 4.309 5.056 5.056 90.00 90.00 90.00
Atoms (fractional coordinates):
Hf: 0.000 0.500 0.000
Hf: 0.000 0.000 0.500
Li: 0.500 0.000 0.000
Ga: 0.500 0.500 0.500
Ag: 0.000 0.000 0.000